(1)
# Na21In5O15 PBE optimized geometry
data_Na21In5O15
_cell_length_a 9.881
_cell_length_b 9.881
_cell_length_c 9.436
_cell_angle_alpha 109.93
_cell_angle_beta 109.93
_cell_angle_gamma 109.53
_space_group_name_H-M_alt 'P 1'
_space_group_IT_number 1
loop_
_space_group_symop_operation_xyz
'x,y,z'
loop_
_atom_site_label
_atom_site_type_symbol
_atom_site_fract_x
_atom_site_fract_y
_atom_site_fract_z
Na1 Na 0.000 0.000 0.000
Na2 Na 0.106 0.821 0.151
Na3 Na 0.108 0.653 0.460
Na4 Na 0.114 0.427 0.677
Na5 Na 0.121 0.121 0.420
Na6 Na 0.152 0.947 0.720
Na7 Na 0.363 0.805 0.381
Na8 Na 0.369 0.586 0.594
Na9 Na 0.386 0.845 0.895
Na10 Na 0.427 0.114 0.677
Na11 Na 0.586 0.369 0.594
Na12 Na 0.634 0.841 0.186
Na13 Na 0.642 0.934 0.728
Na14 Na 0.653 0.108 0.460
Na15 Na 0.676 0.676 0.887
Na16 Na 0.805 0.363 0.381
Na17 Na 0.821 0.106 0.151
Na18 Na 0.841 0.634 0.186
Na19 Na 0.845 0.386 0.895
Na20 Na 0.934 0.642 0.728
Na21 Na 0.947 0.152 0.720
In1 In 0.098 0.391 0.183
In2 In 0.380 0.380 0.192
In3 In 0.391 0.098 0.183
In4 In 0.425 0.425 0.913
In5 In 0.695 0.695 0.452
O1 O 0.065 0.377 0.393
O2 O 0.065 0.593 0.185
O3 O 0.167 0.892 0.948
O4 O 0.198 0.198 0.719
O5 O 0.373 0.858 0.653
O6 O 0.377 0.065 0.393
O7 O 0.415 0.617 0.870
O8 O 0.593 0.065 0.185
O9 O 0.617 0.415 0.870
O10 O 0.628 0.628 0.616
O11 O 0.676 0.901 0.479
O12 O 0.858 0.373 0.653
O13 O 0.892 0.167 0.948
O14 O 0.892 0.892 0.152
O15 O 0.901 0.676 0.479
# - E_tot (eV per atom) = -4.06
# - formation energy from raw total energies (meV per atom) = -1237

***

(2)
# Zn2CdAg8 PBE optimized geometry
data_Zn2CdAg8
_cell_length_a 7.566
_cell_length_b 7.566
_cell_length_c 6.622
_cell_angle_alpha 108.11
_cell_angle_beta 108.11
_cell_angle_gamma 32.56
_space_group_name_H-M_alt 'P 1'
_space_group_IT_number 1
loop_
_space_group_symop_operation_xyz
'x,y,z'
loop_
_atom_site_label
_atom_site_type_symbol
_atom_site_fract_x
_atom_site_fract_y
_atom_site_fract_z
Zn1 Zn 0.223 0.223 0.146
Zn2 Zn 0.777 0.777 0.854
Cd1 Cd 0.500 0.500 0.500
Ag1 Ag 0.047 0.047 0.228
Ag2 Ag 0.146 0.146 0.707
Ag3 Ag 0.317 0.317 0.579
Ag4 Ag 0.401 0.401 0.036
Ag5 Ag 0.599 0.599 0.964
Ag6 Ag 0.683 0.683 0.421
Ag7 Ag 0.854 0.854 0.293
Ag8 Ag 0.953 0.953 0.772
# - E_tot (eV per atom) = -2.41
# - formation energy (eV/atom) = -0.021

***

Theoretical density readings, ordered: 3.07; 9.52 g cm⁻³